Record 1
Entry from Alexandria: a relaxed Rb3PaCr2Te6 crystal (PBE).

```
Rb3PaCr2Te6
1.0
3.730 -6.452 0.000
3.730 6.452 0.000
-2.492 0.000 8.537
Rb Pa Cr Te
3 1 2 6
Direct
0.000 0.000 0.000
0.338 0.662 0.000
0.662 0.338 0.000
0.500 0.500 0.500
0.167 0.833 0.500
0.833 0.167 0.500
0.088 0.438 0.314
0.211 0.211 0.684
0.438 0.088 0.314
0.562 0.912 0.686
0.789 0.789 0.316
0.912 0.562 0.686
```

Properties
ρ   5.48 Mg/m³
VASP energy   -58.54 eV/cell
Formation energy without anion corrections   -0.670 eV per atom

---

Record 2
Entry from Alexandria: a relaxed Mg3Si4Ag2O14 crystal (PBE).

```
Mg3Si4Ag2O14
1.0
8.832 -3.880 0.000
8.832 3.880 0.000
-5.851 0.000 8.488
Mg Si Ag O
6 8 4 28
Direct
0.104 0.896 0.750
0.216 0.450 0.630
0.450 0.216 0.130
0.550 0.784 0.870
0.784 0.550 0.370
0.896 0.104 0.250
0.014 0.224 0.110
0.075 0.546 0.299
0.224 0.014 0.610
0.454 0.925 0.201
0.546 0.075 0.799
0.776 0.986 0.390
0.925 0.454 0.701
0.986 0.776 0.890
0.278 0.722 0.250
0.500 0.500 0.000
0.500 0.500 0.500
0.722 0.278 0.750
0.011 0.409 0.133
0.024 0.874 0.082
0.046 0.546 0.439
0.069 0.227 0.708
0.126 0.976 0.418
0.141 0.702 0.808
0.227 0.069 0.208
0.297 0.447 0.299
0.298 0.859 0.692
0.397 0.462 0.096
0.409 0.011 0.633
0.447 0.297 0.799
0.454 0.954 0.061
0.462 0.397 0.596
0.538 0.603 0.404
0.546 0.046 0.939
0.553 0.703 0.201
0.591 0.989 0.367
0.603 0.538 0.904
0.702 0.141 0.308
0.703 0.553 0.701
0.773 0.931 0.792
0.859 0.298 0.192
0.874 0.024 0.582
0.931 0.773 0.292
0.954 0.454 0.561
0.976 0.126 0.918
0.989 0.591 0.867
```

Properties
ρ   3.57 Mg/m³
VASP energy   -300.12 eV/cell
Formation energy without anion corrections   -2.107 eV per atom

---

Record 3
Entry from Alexandria: a relaxed PmTmInGa crystal (PBE).

```
PmTmInGa
1.0
0.000 3.699 3.699
3.699 0.000 3.699
3.699 3.699 0.000
Pm Tm In Ga
1 1 1 1
Direct
0.000 0.000 0.000
0.500 0.500 0.500
0.750 0.750 0.750
0.250 0.250 0.250
```

Properties
ρ   8.18 Mg/m³
VASP energy   -16.94 eV/cell
Calculated formation energy   -0.4887 eV/atom
Relative energy among the computed polymorphs   24 meV per atom

---

Record 4
Entry from Alexandria: a relaxed FeReAs crystal (PBE).

```
FeReAs
1.0
2.815 0.000 0.000
-1.408 2.438 0.000
0.000 0.000 6.108
Fe Re As
1 1 1
Direct
0.000 0.000 0.000
0.333 0.667 0.320
0.667 0.333 0.683
```

Properties
ρ   12.55 Mg/m³
VASP energy   -24.79 eV/cell
Calculated formation energy   0.2569 eV/atom
Relative energy among the computed polymorphs   1 meV per atom

---

Record 5
Entry from Alexandria: a relaxed Tb8TmSc6 crystal (PBE).

```
Tb8TmSc6
1.0
9.036 0.000 0.000
-4.518 7.825 0.000
0.000 0.000 6.384
Tb Tm Sc
8 1 6
Direct
0.037 0.343 0.387
0.307 0.963 0.387
0.333 0.667 0.720
0.343 0.307 0.613
0.657 0.693 0.387
0.667 0.333 0.280
0.693 0.037 0.613
0.963 0.657 0.613
0.000 0.000 0.000
0.067 0.671 0.099
0.329 0.396 0.099
0.396 0.067 0.901
0.604 0.933 0.099
0.671 0.604 0.901
0.933 0.329 0.901
```

Properties
ρ   6.29 Mg/m³
VASP energy   -75.82 eV/cell
Calculated formation energy   0.2457 eV/atom
Relative energy among the computed polymorphs   59 meV per atom

---

Record 6
Entry from Alexandria: a relaxed NaBiPtO6 crystal (PBE).

```
NaBiPtO6
1.0
5.504 0.000 0.000
-2.752 4.766 0.000
0.000 0.000 10.052
Na Bi Pt O
2 2 2 12
Direct
0.000 0.000 0.000
0.000 0.000 0.500
0.333 0.667 0.250
0.667 0.333 0.750
0.333 0.667 0.750
0.667 0.333 0.250
0.028 0.379 0.640
0.028 0.649 0.860
0.351 0.379 0.860
0.351 0.972 0.640
0.379 0.028 0.140
0.379 0.351 0.360
0.621 0.649 0.640
0.621 0.972 0.860
0.649 0.028 0.360
0.649 0.621 0.140
0.972 0.351 0.140
0.972 0.621 0.360
```

Properties
ρ   6.59 Mg/m³
VASP energy   -94.52 eV/cell
Formation energy without anion corrections   -0.697 eV per atom

---

Record 7
Entry from Alexandria: a relaxed PdRuN2F crystal (PBE).

```
PdRuN2F
1.0
3.841 0.000 0.000
0.000 3.841 0.000
0.000 0.000 4.117
Pd Ru N F
1 1 2 1
Direct
0.000 0.000 0.000
0.500 0.500 0.500
0.000 0.500 0.500
0.500 0.000 0.500
0.500 0.500 0.000
```

Properties
ρ   6.96 Mg/m³
VASP energy   -30.05 eV/cell
Formation energy without anion corrections   0.589 eV per atom
Relative energy among the computed polymorphs   0 meV per atom

---

Record 8
Entry from Alexandria: a relaxed CrNi2Pt2 crystal (PBE).

```
CrNi2Pt2
1.0
6.889 0.000 0.000
0.000 6.889 0.000
0.000 0.000 2.851
Cr Ni Pt
2 4 4
Direct
0.000 0.000 0.000
0.500 0.500 0.000
0.126 0.374 0.000
0.374 0.874 0.000
0.626 0.126 0.000
0.874 0.626 0.000
0.173 0.673 0.500
0.327 0.173 0.500
0.673 0.827 0.500
0.827 0.327 0.500
```

Properties
ρ   13.73 Mg/m³
VASP energy   -64.47 eV/cell
Calculated formation energy   0.2063 eV/atom
Relative energy among the computed polymorphs   13 meV per atom

---

Record 9
Entry from Alexandria: a relaxed KCrAu2 crystal (PBE).

```
KCrAu2
1.0
-1.581 2.612 5.468
1.581 -2.612 5.468
1.581 2.612 -5.468
K Cr Au
1 1 2
Direct
0.000 0.000 0.000
0.292 0.792 0.500
0.498 0.498 0.000
0.724 0.224 0.500
```

Properties
ρ   8.92 Mg/m³
VASP energy   -16.20 eV/cell
Calculated formation energy   0.2691 eV/atom
Relative energy among the computed polymorphs   215 meV per atom

---

Record 10
Entry from Alexandria: a relaxed CeTlI crystal (PBE).

```
CeTlI
1.0
4.112 -2.375 0.000
4.112 2.375 0.000
-0.128 0.000 11.853
Ce Tl I
2 2 2
Direct
0.003 0.003 0.186
0.997 0.997 0.814
0.334 0.334 0.049
0.666 0.666 0.951
0.328 0.328 0.658
0.672 0.672 0.342
```

Properties
ρ   6.76 Mg/m³
VASP energy   -23.93 eV/cell
Formation energy without anion corrections   -0.706 eV per atom
Relative energy among the computed polymorphs   0 meV per atom

---

Record 11
Entry from Alexandria: a relaxed PaBeN crystal (PBE).

```
PaBeN
1.0
-1.674 1.674 4.526
1.674 -1.674 4.526
1.674 1.674 -4.526
Pa Be N
1 1 1
Direct
0.000 0.000 0.000
0.689 0.689 0.000
0.509 0.509 0.000
```

Properties
ρ   8.31 Mg/m³
VASP energy   -22.79 eV/cell
Formation energy without anion corrections   -0.415 eV per atom

---

Record 12
Entry from Alexandria: a relaxed NdY2Al3 crystal (PBE).

```
NdY2Al3
1.0
3.631 0.000 0.000
0.000 3.631 0.000
0.000 0.000 11.030
Nd Y Al
1 2 3
Direct
0.000 0.000 0.000
0.000 0.000 0.338
0.000 0.000 0.662
0.500 0.500 0.178
0.500 0.500 0.500
0.500 0.500 0.822
```

Properties
ρ   4.60 Mg/m³
VASP energy   -31.32 eV/cell
Calculated formation energy   -0.3987 eV/atom

---

Record 13
Entry from Alexandria: a relaxed PrCuGeH crystal (PBE).

```
PrCuGeH
1.0
4.231 0.000 0.000
-2.116 3.664 0.000
0.000 0.000 4.219
Pr Cu Ge H
1 1 1 1
Direct
0.000 0.000 0.000
0.667 0.333 0.532
0.333 0.667 0.481
0.667 0.333 0.928
```

Properties
ρ   7.06 Mg/m³
VASP energy   -19.07 eV/cell

---

Record 14
Entry from Alexandria: a relaxed KZr2Ru crystal (PBE).

```
KZr2Ru
1.0
-1.666 2.118 8.662
1.666 -2.118 8.662
1.666 2.118 -8.662
K Zr Ru
1 2 1
Direct
0.000 0.000 0.000
0.319 0.819 0.500
0.687 0.687 0.000
0.803 0.303 0.500
```

Properties
ρ   4.38 Mg/m³
VASP energy   -26.06 eV/cell
Calculated formation energy   0.3527 eV/atom
Relative energy among the computed polymorphs   206 meV per atom

---

Record 15
Entry from Alexandria: a relaxed Sm12CoRu6 crystal (PBE).

```
Sm12CoRu6
1.0
6.236 3.600 3.862
-6.236 3.600 3.862
0.000 -7.200 3.862
Sm Co Ru
12 1 6
Direct
0.049 0.916 0.681
0.084 0.319 0.951
0.180 0.569 0.416
0.319 0.951 0.084
0.416 0.180 0.569
0.431 0.584 0.820
0.569 0.416 0.180
0.584 0.820 0.431
0.681 0.049 0.916
0.820 0.431 0.584
0.916 0.681 0.049
0.951 0.084 0.319
0.000 0.000 0.000
0.133 0.301 0.613
0.301 0.613 0.133
0.387 0.867 0.699
0.613 0.133 0.301
0.699 0.387 0.867
0.867 0.699 0.387
```

Properties
ρ   7.88 Mg/m³
VASP energy   -121.35 eV/cell
Calculated formation energy   -0.1031 eV/atom

---

Record 16
Entry from Alexandria: a relaxed RbLi3Ir crystal (PBE).

```
RbLi3Ir
1.0
4.956 0.000 0.000
0.000 4.956 0.000
0.000 0.000 4.956
Rb Li Ir
1 3 1
Direct
0.000 0.000 0.000
0.000 0.500 0.500
0.500 0.000 0.500
0.500 0.500 0.000
0.500 0.500 0.500
```

Properties
ρ   4.07 Mg/m³
VASP energy   -14.29 eV/cell
Calculated formation energy   0.2554 eV/atom
Relative energy among the computed polymorphs   0 meV per atom

---

Record 17
Entry from Alexandria: a relaxed Al2OsRu crystal (PBE).

```
Al2OsRu
1.0
1.418 0.818 8.173
-1.418 0.818 8.173
0.000 -1.637 8.173
Al Os Ru
2 1 1
Direct
0.249 0.249 0.249
0.751 0.751 0.751
0.000 0.000 0.000
0.500 0.500 0.500
```

Properties
ρ   10.08 Mg/m³
VASP energy   -29.05 eV/cell
Calculated formation energy   -0.2642 eV/atom

---

Record 18
Entry from Alexandria: a relaxed PaMnVSi2 crystal (PBE).

```
PaMnVSi2
1.0
-1.956 1.956 5.317
1.956 -1.956 5.317
1.956 1.956 -5.317
Pa Mn V Si
1 1 1 2
Direct
0.000 0.000 0.000
0.250 0.750 0.500
0.750 0.250 0.500
0.387 0.387 0.000
0.613 0.613 0.000
```

Properties
ρ   8.03 Mg/m³
VASP energy   -41.13 eV/cell
Formation energy without anion corrections   -0.499 eV per atom

---

Record 19
Entry from Alexandria: a relaxed Sr9AlNi2 crystal (PBE).

```
Sr9AlNi2
1.0
11.355 0.000 0.000
-5.677 9.834 0.000
0.000 0.000 4.670
Sr Al Ni
9 1 2
Direct
0.000 0.500 0.000
0.211 0.423 0.500
0.211 0.789 0.500
0.423 0.211 0.500
0.500 0.000 0.000
0.500 0.500 0.000
0.577 0.789 0.500
0.789 0.211 0.500
0.789 0.577 0.500
0.000 0.000 0.000
0.333 0.667 0.000
0.667 0.333 0.000
```

Properties
ρ   2.97 Mg/m³
VASP energy   -26.91 eV/cell
Calculated formation energy   0.2944 eV/atom

---

Record 20
Entry from Alexandria: a relaxed Cd2AgBiS4 crystal (PBE).

```
Cd2AgBiS4
1.0
-2.999 2.999 6.099
2.999 -2.999 6.099
2.999 2.999 -6.099
Cd Ag Bi S
2 1 1 4
Direct
0.250 0.750 0.500
0.750 0.250 0.500
0.000 0.000 0.000
0.500 0.500 0.000
0.110 0.631 0.000
0.369 0.369 0.479
0.631 0.110 0.000
0.890 0.890 0.521
```

Properties
ρ   5.07 Mg/m³
VASP energy   -28.13 eV/cell
Formation energy without anion corrections   -0.382 eV per atom

---

Record 21
Entry from Alexandria: a relaxed NbCdN2O crystal (PBE).

```
NbCdN2O
1.0
4.123 0.000 0.000
0.000 4.123 0.000
0.000 0.000 3.993
Nb Cd N O
1 1 2 1
Direct
0.000 0.000 0.000
0.500 0.500 0.500
0.000 0.500 0.000
0.500 0.000 0.000
0.000 0.000 0.500
```

Properties
ρ   6.10 Mg/m³
VASP energy   -33.93 eV/cell
Formation energy without anion corrections   -0.267 eV per atom

---

Record 22
Entry from Alexandria: a relaxed SrCuI3 crystal (PBE).

```
SrCuI3
1.0
8.253 0.000 0.000
0.000 4.453 0.000
-2.777 0.000 10.718
Sr Cu I
2 2 6
Direct
0.249 0.250 0.304
0.751 0.750 0.696
0.311 0.250 0.698
0.689 0.750 0.302
0.058 0.250 0.793
0.311 0.750 0.553
0.401 0.750 0.143
0.599 0.250 0.857
0.689 0.250 0.447
0.942 0.750 0.207
```

Properties
ρ   4.48 Mg/m³
VASP energy   -31.14 eV/cell
Formation energy without anion corrections   -1.029 eV per atom
Relative energy among the computed polymorphs   0 meV per atom